The following is a PBE with a Hubbard U calculation of a geometry-optimized CoBrN2O structure, from Alexandria via LeMat-Bulk.

Results
**V**: 11.831 Å³/atom
**Electronic total energy**: -3.609 eV per atom
**Total moment**: 3.34 μB/f.u.

abc: 3.857 3.857 3.976
angles: 90.00 90.00 90.00
Fractional positions:
Co 0.000 0.000 0.000
Br 0.500 0.500 0.500
N 0.000 0.500 0.500
N 0.500 0.000 0.500
O 0.500 0.500 0.000